Record 1
Below is crystalline Y2Si4Ru3 at its relaxed geometry, with properties calculated at the GGA-PBE level.

Geometry as extended XYZ:
```
18
Lattice="6.6446 0.0000 0.0000 0.0000 6.6599 0.0000 -2.5766 0.0000 6.5512" Properties=species:S:1:pos:R:3 pbc="T T T"
Y 1.0956 1.1349 0.4100
Y -0.1928 2.1951 3.6856
Y 4.2607 4.4648 2.8656
Y 2.9724 5.5250 6.1412
Si -1.5407 3.7743 5.7374
Si -0.2524 6.2155 2.4618
Si 1.5621 4.3408 4.0592
Si 2.8504 5.6490 0.7836
Si 1.2176 1.0109 5.7676
Si 2.5059 2.3191 2.4920
Si 4.3204 0.4444 4.0894
Si 5.6087 2.8856 0.8138
Ru 0.9520 4.1984 1.6517
Ru -0.3364 5.7915 4.9273
Ru 2.0340 0.0000 3.2756
Ru 3.3223 3.3300 0.0000
Ru 4.4043 0.8684 1.6239
Ru 3.1160 2.4615 4.8994
```

Computed properties:
Energy above the most stable polymorph in this dataset ... 0 meV/atom
Total moment ... 0.00 μB/cell
Space group ... P2_1/c, No. 14
Raw formation energy ... -0.765 eV per atom
Calculated density ... 6.80 g/cm³

***

Record 2
Below is crystalline Y2Si4Ru5 at its relaxed geometry, with properties calculated at the GGA-PBE level.

Geometry as extended XYZ:
```
11
Lattice="0.0000 4.9731 6.4461 2.9062 0.0000 6.4461 2.9062 4.9731 0.0000" Properties=species:S:1:pos:R:3 pbc="T T T"
Y 2.9062 4.9731 1.6720
Y 2.9062 4.9731 11.2202
Si 2.9062 3.5026 4.7009
Si 2.9062 3.5026 8.1913
Si 2.9062 6.4435 4.7009
Si 2.9062 6.4435 8.1913
Ru 1.4531 2.4865 0.0000
Ru 1.4531 2.4865 3.2230
Ru 1.4531 2.4865 6.4461
Ru 2.9062 4.9731 6.4461
Ru 4.3593 7.4596 9.6691
```

Computed properties:
Total moment ... 0.00 μB/cell
Space group ... Fmmm, No. 69
Raw formation energy ... -0.745 eV per atom
Calculated density ... 7.09 g/cm³

***

Record 3
Below is crystalline YSi2Ru at its relaxed geometry, with properties calculated at the GGA-PBE level.

Geometry as extended XYZ:
```
4
Lattice="0.0000 3.2384 3.2384 3.2384 0.0000 3.2384 3.2384 3.2384 0.0000" Properties=species:S:1:pos:R:3 pbc="T T T"
Y 0.0000 0.0000 0.0000
Si 1.6192 1.6192 1.6192
Si 3.2384 3.2384 3.2384
Ru 4.8576 4.8576 4.8576
```

Computed properties:
Total moment ... 0.00 μB/cell
Space group ... F-43m, No. 216
Raw formation energy ... -0.052 eV per atom
Calculated density ... 6.02 g/cm³

***

Record 4
Below is crystalline YSi2Ru at its relaxed geometry, with properties calculated at the GGA-PBE level.

Geometry as extended XYZ:
```
4
Lattice="3.4210 0.0000 0.0000 0.0000 4.2601 0.0000 0.0000 0.0000 4.9858" Properties=species:S:1:pos:R:3 pbc="T T T"
Y 0.0000 0.0000 0.0000
Si 1.7105 2.1301 1.2624
Si 1.7105 2.1301 3.7234
Ru 1.7105 0.0000 2.4929
```

Computed properties:
Total moment ... 0.00 μB/cell
Space group ... Pmmm, No. 47
Raw formation energy ... -0.511 eV per atom
Calculated density ... 5.63 g/cm³

***

Record 5
Below is crystalline Y2SiRu at its relaxed geometry, with properties calculated at the GGA-PBE level.

Geometry as extended XYZ:
```
4
Lattice="0.0000 3.3739 3.3739 3.3739 0.0000 3.3739 3.3739 3.3739 0.0000" Properties=species:S:1:pos:R:3 pbc="T T T"
Y 0.0000 0.0000 0.0000
Y 1.6869 1.6869 1.6869
Si 3.3739 3.3739 3.3739
Ru 5.0608 5.0608 5.0608
```

Computed properties:
Total moment ... 0.00 μB/cell
Space group ... F-43m, No. 216
Raw formation energy ... -0.268 eV per atom
Calculated density ... 6.64 g/cm³

***

Record 6
Below is crystalline Y2SiRu at its relaxed geometry, with properties calculated at the GGA-PBE level.

Geometry as extended XYZ:
```
4
Lattice="-2.0668 2.0668 4.8345 2.0668 -2.0668 4.8345 2.0668 2.0668 -4.8345" Properties=species:S:1:pos:R:3 pbc="T T T"
Y 0.0000 0.0000 0.0000
Y 0.0000 2.0668 2.4173
Si 0.0000 0.0000 4.8345
Ru 2.0668 0.0000 2.4173
```

Computed properties:
Total moment ... 0.00 μB/cell
Space group ... I-4m2, No. 119
Raw formation energy ... -0.242 eV per atom
Calculated density ... 6.17 g/cm³

***

Record 7
Below is crystalline YSi2Ru at its relaxed geometry, with properties calculated at the GGA-PBE level.

Geometry as extended XYZ:
```
4
Lattice="3.5664 0.0000 0.0000 0.0000 3.9211 0.0000 -1.2243 0.0000 5.1195" Properties=species:S:1:pos:R:3 pbc="T T T"
Y 0.0000 0.0000 0.0000
Si 0.7167 0.0000 2.6983
Si 0.5326 1.9606 4.0660
Ru 2.3093 1.9606 2.4317
```

Computed properties:
Total moment ... 0.00 μB/cell
Space group ... Pm, No. 6
Raw formation energy ... -0.423 eV per atom
Calculated density ... 5.71 g/cm³

***

Record 8
Below is crystalline Y2SiRu at its relaxed geometry, with properties calculated at the GGA-PBE level.

Geometry as extended XYZ:
```
4
Lattice="3.3499 -3.3549 0.0000 3.3499 3.3549 0.0000 0.0000 0.0000 3.6693" Properties=species:S:1:pos:R:3 pbc="T T T"
Y 1.6749 1.6774 0.0000
Y 1.6749 -1.6774 0.0000
Si 0.0000 0.0000 1.8346
Ru 3.3499 0.0000 1.8346
```

Computed properties:
Total moment ... 0.00 μB/cell
Space group ... Cmmm, No. 65
Raw formation energy ... -0.451 eV per atom
Calculated density ... 6.18 g/cm³

***

Record 9
Below is crystalline YSi7Ru3 at its relaxed geometry, with properties calculated at the GGA-PBE level.

Geometry as extended XYZ:
```
22
Lattice="3.8162 2.2033 6.6561 -3.8162 2.2033 6.6561 0.0000 -4.4066 6.6561" Properties=species:S:1:pos:R:3 pbc="T T T"
Y 0.0000 0.0000 0.0000
Y 0.0000 0.0000 9.9842
Si -3.0172 -0.9305 10.5527
Si -0.7027 -3.0782 9.4156
Si -0.7027 -1.3284 7.2247
Si 0.0000 0.0000 4.9921
Si -2.3144 2.1477 9.4156
Si -0.7990 1.2728 7.2247
Si -1.5018 -0.0556 12.7437
Si 1.5018 0.0556 7.2247
Si 0.7990 -1.2728 12.7437
Si 2.3144 -2.1477 10.5527
Si 0.0000 0.0000 14.9763
Si 0.7027 1.3284 12.7437
Si 0.7027 3.0782 10.5527
Si 3.0172 0.9305 9.4157
Ru -2.5666 -0.0388 8.3202
Ru -1.2496 -2.2421 11.6482
Ru 1.3169 -2.2033 8.3202
Ru -1.3169 2.2033 11.6482
Ru 1.2496 2.2421 8.3202
Ru 2.5666 0.0389 11.6482
```

Computed properties:
Total moment ... 0.00 μB/cell
Space group ... R-3c, No. 167
Raw formation energy ... -0.542 eV per atom
Calculated density ... 5.82 g/cm³

***

Record 10
Below is crystalline YSi2Ru at its relaxed geometry, with properties calculated at the GGA-PBE level.

Geometry as extended XYZ:
```
4
Lattice="3.0563 0.0000 0.0000 0.0000 3.0563 0.0000 0.0000 0.0000 6.9965" Properties=species:S:1:pos:R:3 pbc="T T T"
Y 0.0000 0.0000 0.0000
Si 1.5282 1.5282 2.1032
Si 1.5282 1.5282 4.8933
Ru 0.0000 0.0000 3.4982
```

Computed properties:
Total moment ... 0.21 μB/cell
Space group ... P4/mmm, No. 123
Raw formation energy ... -0.477 eV per atom
Calculated density ... 6.25 g/cm³

***

Record 11
Below is crystalline YSi2Ru at its relaxed geometry, with properties calculated at the GGA-PBE level.

Geometry as extended XYZ:
```
4
Lattice="4.0369 0.0000 0.0000 0.0000 4.0369 0.0000 0.0000 0.0000 4.1067" Properties=species:S:1:pos:R:3 pbc="T T T"
Y 0.0000 0.0000 0.0000
Si 0.0000 2.0185 2.0533
Si 2.0185 0.0000 2.0533
Ru 2.0185 2.0185 0.0000
```

Computed properties:
Total moment ... 0.00 μB/cell
Space group ... P4/mmm, No. 123
Raw formation energy ... -0.238 eV per atom
Calculated density ... 6.11 g/cm³

***

Record 12
Below is crystalline YSi3Ru3 at its relaxed geometry, with properties calculated at the GGA-PBE level.

Geometry as extended XYZ:
```
14
Lattice="6.4666 0.0000 0.0000 0.0000 6.4666 0.0000 0.0000 0.0000 6.4666" Properties=species:S:1:pos:R:3 pbc="T T T"
Y 0.0000 0.0000 0.0000
Y 3.2333 3.2333 3.2333
Si 0.0000 1.6167 3.2333
Si 0.0000 4.8500 3.2333
Si 1.6167 3.2333 0.0000
Si 3.2333 0.0000 1.6167
Si 3.2333 0.0000 4.8500
Si 4.8500 3.2333 0.0000
Ru 0.0000 3.2333 1.6167
Ru 0.0000 3.2333 4.8500
Ru 1.6167 0.0000 3.2333
Ru 3.2333 1.6167 0.0000
Ru 3.2333 4.8500 0.0000
Ru 4.8500 0.0000 3.2333
```

Computed properties:
Energy above the most stable polymorph in this dataset ... 232 meV/atom
Total moment ... 0.00 μB/cell
Space group ... Pm-3n, No. 223
Raw formation energy ... -0.183 eV per atom
Calculated density ... 5.85 g/cm³

***

Record 13
Below is crystalline Y2SiRu at its relaxed geometry, with properties calculated at the GGA-PBE level.

Geometry as extended XYZ:
```
4
Lattice="1.7757 1.0252 8.1695 -1.7757 1.0252 8.1695 0.0000 -2.0503 8.1695" Properties=species:S:1:pos:R:3 pbc="T T T"
Y 0.0000 0.0000 6.0447
Y 0.0000 0.0000 18.4639
Si 0.0000 0.0000 0.0000
Ru 0.0000 0.0000 12.2543
```

Computed properties:
Total moment ... 0.00 μB/cell
Space group ... R-3m, No. 166
Raw formation energy ... -0.173 eV per atom
Calculated density ... 5.71 g/cm³

***

Record 14
Below is crystalline YZnSiRu2 at its relaxed geometry, with properties calculated at the GGA-PBE level.

Geometry as extended XYZ:
```
5
Lattice="4.8101 0.0000 0.0000 0.0000 4.8101 0.0000 0.0000 0.0000 5.1796" Properties=species:S:1:pos:R:3 pbc="T T T"
Y 0.0000 0.0000 0.0000
Zn 0.0000 0.0000 2.5898
Si 2.4051 2.4051 2.5898
Ru 0.0000 2.4051 0.0000
Ru 2.4051 0.0000 0.0000
```

Computed properties:
Total moment ... 0.00 μB/cell
Space group ... P4/mmm, No. 123
Raw formation energy ... 1.828 eV per atom
Calculated density ... 5.33 g/cm³

***

Record 15
Below is crystalline ZnSi2Ru at its relaxed geometry, with properties calculated at the GGA-PBE level.

Geometry as extended XYZ:
```
4
Lattice="0.0000 3.0267 3.0267 3.0267 0.0000 3.0267 3.0267 3.0267 0.0000" Properties=species:S:1:pos:R:3 pbc="T T T"
Zn 0.0000 0.0000 0.0000
Si 3.0267 3.0267 3.0267
Si 4.5401 4.5401 4.5401
Ru 1.5134 1.5134 1.5134
```

Computed properties:
Total moment ... 0.00 μB/cell
Space group ... F-43m, No. 216
Raw formation energy ... 0.252 eV per atom
Calculated density ... 6.67 g/cm³

***

Record 16
Below is crystalline ZnSiRu2 at its relaxed geometry, with properties calculated at the GGA-PBE level.

Geometry as extended XYZ:
```
4
Lattice="2.9454 0.0000 0.0000 0.0000 2.9454 0.0000 0.0000 0.0000 6.1175" Properties=species:S:1:pos:R:3 pbc="T T T"
Zn 0.0000 0.0000 0.0000
Si 0.0000 0.0000 3.0587
Ru 1.4727 1.4727 1.6617
Ru 1.4727 1.4727 4.4558
```

Computed properties:
Total moment ... 0.00 μB/cell
Space group ... P4/mmm, No. 123
Raw formation energy ... -0.347 eV per atom
Calculated density ... 9.25 g/cm³

***

Record 17
Below is crystalline ZnSi2Ru at its relaxed geometry, with properties calculated at the GGA-PBE level.

Geometry as extended XYZ:
```
4
Lattice="2.5688 -3.6270 0.0000 2.5688 3.6270 0.0000 -0.0451 0.0000 2.9403" Properties=species:S:1:pos:R:3 pbc="T T T"
Zn 0.0000 0.0000 0.0000
Si 1.2618 1.8135 1.4701
Si 1.2618 -1.8135 1.4701
Ru 2.5688 0.0000 0.0000
```

Computed properties:
Total moment ... 0.00 μB/cell
Space group ... C2/m, No. 12
Raw formation energy ... 0.046 eV per atom
Calculated density ... 6.75 g/cm³

***

Record 18
Below is crystalline Zn2Si2Ru at its relaxed geometry, with properties calculated at the GGA-PBE level.

Geometry as extended XYZ:
```
10
Lattice="6.2480 0.0000 0.0000 0.0000 6.2480 0.0000 0.0000 0.0000 3.7797" Properties=species:S:1:pos:R:3 pbc="T T T"
Zn 1.0826 2.0414 0.0000
Zn 2.0414 5.1654 0.0000
Zn 4.2067 1.0826 0.0000
Zn 5.1654 4.2067 0.0000
Si 0.8280 3.9520 1.8899
Si 2.2960 0.8280 1.8899
Si 3.9520 5.4201 1.8899
Si 5.4201 2.2960 1.8899
Ru 0.0000 0.0000 1.8899
Ru 3.1240 3.1240 1.8899
```

Computed properties:
Total moment ... 0.00 μB/cell
Space group ... P4/mbm, No. 127
Raw formation energy ... 0.001 eV per atom
Calculated density ... 6.48 g/cm³

***

Record 19
Below is crystalline ZnSi4Ru at its relaxed geometry, with properties calculated at the GGA-PBE level.

Geometry as extended XYZ:
```
6
Lattice="0.0000 3.5173 3.5173 3.5173 0.0000 3.5173 3.5173 3.5173 0.0000" Properties=species:S:1:pos:R:3 pbc="T T T"
Zn 0.0000 0.0000 0.0000
Si 4.3939 2.6408 2.6408
Si 2.6408 4.3939 2.6408
Si 2.6408 2.6408 4.3939
Si 4.3939 4.3939 4.3939
Ru 1.7587 1.7587 1.7587
```

Computed properties:
Total moment ... 0.00 μB/cell
Space group ... F-43m, No. 216
Raw formation energy ... 0.476 eV per atom
Calculated density ... 5.32 g/cm³

***

Record 20
Below is crystalline Zn2SiRu at its relaxed geometry, with properties calculated at the GGA-PBE level.

Geometry as extended XYZ:
```
4
Lattice="3.3643 0.0000 0.0000 0.0000 3.3643 0.0000 0.0000 0.0000 4.9789" Properties=species:S:1:pos:R:3 pbc="T T T"
Zn 0.0000 0.0000 1.2398
Zn 0.0000 0.0000 3.7392
Si 1.6822 1.6822 2.4895
Ru 1.6822 1.6822 0.0000
```

Computed properties:
Total moment ... 0.00 μB/cell
Space group ... P4/mmm, No. 123
Raw formation energy ... -0.054 eV per atom
Calculated density ... 7.66 g/cm³